## BaCaPt (GGA-PBE)

Data for crystalline BaCaPt at its relaxed geometry.

Structure (POSCAR):
```
BaCaPt
1.0
4.8393 0.0000 0.0000
0.0000 4.8393 0.0000
0.0000 0.0000 8.1913
Ba Ca Pt
2 2 2
Direct
0.2500 0.2500 0.1361
0.7500 0.7500 0.8639
0.2500 0.7500 0.5000
0.7500 0.2500 0.5000
0.2500 0.2500 0.7192
0.7500 0.7500 0.2808
```

Computed properties:
The calculation puts the density of states at the Fermi level at 1.2 states/eV/f.u. The theoretical density comes out at 6.45 g/cm3. Its formation energy is -0.6778 eV/atom. As for the total energy: -4.00 eV/atom. The space group is P4/nmm (129).